Record 1
Material: Ba10Ag4Au
Method: DFT, GGA-PBE
State: relaxed

The calculation puts the formation energy at -176 meV/atom. The density of states at the Fermi level is 1.248 states/eV per atom.

Cell: 5.7841 5.7841 23.8118 Å, 83.02 83.02 60.00°
Fractional positions:
Ba  0.1498  0.1498  0.5506
Ba  0.0480  0.0480  0.8559
Ba  0.6515  0.6515  0.0456
Ba  0.8502  0.8502  0.4494
Ba  0.5506  0.5506  0.3483
Ba  0.3485  0.3485  0.9544
Ba  0.4494  0.4494  0.6517
Ba  0.9520  0.9520  0.1441
Ba  0.2509  0.2509  0.2472
Ba  0.7491  0.7491  0.7528
Au  0.0000  0.0000  0.0000
Ag  0.7996  0.7996  0.6013
Ag  0.6011  0.6011  0.1967
Ag  0.2004  0.2004  0.3987
Ag  0.3989  0.3989  0.8033



Record 2
Material: Ba2AgAu
Method: DFT, GGA-PBE
State: relaxed

The calculation puts the formation energy at -282 meV/atom. The density of states at the Fermi level is 0.679 states/eV per atom.

Cell: 4.0748 4.0748 9.0392 Å, 90.00 90.00 89.99°
Fractional positions:
Ba  0.0000  0.0000  0.9035
Ba  0.5000  0.5000  0.3414
Au  0.5000  0.5000  0.7072
Ag  0.0000  0.0000  0.5478



Record 3
Material: Ba2AgAu
Method: DFT, GGA-PBE
State: relaxed

The calculation puts the formation energy at -210 meV/atom. The density of states at the Fermi level is 1.229 states/eV per atom.

Cell: 5.5132 5.5132 5.5132 Å, 60.00 60.00 60.00°
Fractional positions:
Ba  0.2500  0.2500  0.2500
Ba  0.0000  0.0000  0.0000
Ag  0.5000  0.5000  0.5000
Au  0.7500  0.7500  0.7500